1.
The following is a PBE calculation of Ca2Tl5Pd3 after structural relaxation, from Alexandria.

Summary:
DOS(E_F), states/eV/cell: 10.50
ΔH_f (0 K), eV/atom: -0.36

Cell lengths 4.610, 7.513, 14.102 Å; angles 90.00, 99.41, 90.00 degrees
Positions (direct):
1 Pd 0.226 0.189 0.451
2 Pd 0.957 0.504 0.914
3 Pd 0.390 0.027 0.779
4 Pd 0.043 0.004 0.086
5 Pd 0.610 0.527 0.221
6 Pd 0.774 0.689 0.549
7 Tl 0.293 0.481 0.585
8 Tl 0.706 0.405 0.412
9 Tl 0.707 0.981 0.415
10 Tl 0.052 0.614 0.104
11 Tl 0.294 0.905 0.588
12 Tl 0.597 0.909 0.193
13 Tl 0.948 0.114 0.896
14 Tl 0.123 0.252 0.247
15 Tl 0.877 0.752 0.753
16 Tl 0.403 0.409 0.807
17 Ca 0.826 0.196 0.651
18 Ca 0.174 0.696 0.349
19 Ca 0.524 0.288 0.047
20 Ca 0.476 0.788 0.953

=====

2.
The following is a PBE calculation of YSi2Sb after structural relaxation, from Alexandria.

Summary:
DOS(E_F), states/eV/cell: 1.73
Formation energy from raw total energies, eV per atom: -0.182

Cell lengths 4.004, 3.993, 6.091 Å; angles 74.06, 90.00, 90.00 degrees
Positions (direct):
1 Sb 0.500 0.750 0.750
2 Si 0.000 0.641 0.447
3 Si 0.000 0.859 0.053
4 Y 0.500 0.250 0.250

=====

3.
The following is a PBE calculation of BaTbTe3Au after structural relaxation, from Alexandria.

Summary:
Formation energy from raw total energies, eV per atom: -1.228

Cell lengths 4.501, 9.179, 10.221 Å; angles 105.27, 90.00, 90.00 degrees
Positions (direct):
1 Au 0.750 0.912 0.409
2 Au 0.250 0.088 0.591
3 Tb 0.750 0.320 0.837
4 Tb 0.250 0.680 0.163
5 Te 0.250 0.749 0.472
6 Te 0.750 0.443 0.155
7 Te 0.750 0.251 0.528
8 Te 0.250 0.098 0.870
9 Te 0.750 0.902 0.130
10 Te 0.250 0.557 0.845
11 Ba 0.750 0.801 0.744
12 Ba 0.250 0.199 0.256

=====

Quick rundown of density, same order as above: 9.797; 4.732; 7.142 g/cm³